## KW (PBE)

Data for KW after structural relaxation.

The structure in POSCAR format:
```
KW
1.0
-0.113 -3.192 -1.033
2.670 0.540 -1.961
9.451 -2.363 6.265
K W
2 2
Cartesian
8.527 -2.768 2.162 K
3.176 0.344 -1.412 K
5.531 -0.688 1.519 W
3.503 -2.275 1.192 W
```

Properties
ρ   5.95 g/cm3
Formation enthalpy at 0 K   0.979 eV per atom